No. 1
The following is a PBE-GGA calculation of a geometry-optimized Sm2NpAl2Ru5 structure, from Alexandria.

Calculated values
Total magnetization: 2.7 Bohr magnetons per cell
ρ: 10.242 g/cm3
Total DFT energy (no corrections): -160.113 eV for the cell shown
V: 17.79 A^3/atom
Crystal system: tetragonal
Energy relative to the elements: -37 kJ/mol of atoms

```
data_Sm2NpAl2Ru5
_cell_length_a 10.290
_cell_length_b 10.290
_cell_length_c 3.360
_cell_angle_alpha 90.00
_cell_angle_beta 90.00
_cell_angle_gamma 90.00
_symmetry_space_group_name_H-M 'P 4/m b m'
_symmetry_Int_Tables_number 127
_symmetry_space_group_name_Hall '-P 4 2ab'
loop_
_atom_site_label
_atom_site_fract_x
_atom_site_fract_y
_atom_site_fract_z
Sm1 0.170 0.330 0.000
Np1 0.000 0.000 0.000
Al1 0.127 0.627 0.000
Ru1 0.000 0.500 0.500
Ru2 0.066 0.801 0.500
```

***

No. 2
The following is a PBE-GGA calculation of a geometry-optimized LiTl2As structure, from Alexandria.

Calculated values
Total magnetization: 0.0 Bohr magnetons per cell
ρ: 8.437 g/cm3
Total DFT energy (no corrections): -11.556 eV for the cell shown
V: 24.14 A^3/atom
Crystal system: orthorhombic
ΔE to the lowest computed polymorph: 167.2 meV per atom
Energy relative to the elements: -6 kJ/mol of atoms

```
data_LiTl2As
_cell_length_a 4.549
_cell_length_b 4.587
_cell_length_c 4.628
_cell_angle_alpha 90.00
_cell_angle_beta 90.00
_cell_angle_gamma 90.00
_symmetry_space_group_name_H-M 'P m m m'
_symmetry_Int_Tables_number 47
_symmetry_space_group_name_Hall '-P 2 2'
loop_
_atom_site_label
_atom_site_fract_x
_atom_site_fract_y
_atom_site_fract_z
Li1 0.000 0.000 0.000
Tl1 0.500 0.000 0.500
Tl2 0.500 0.500 0.000
As1 0.000 0.500 0.500
```

***

No. 3
The following is a PBE-GGA calculation of a geometry-optimized Al3VNi12 structure, from Alexandria.

Calculated values
Total magnetization: 1.1 Bohr magnetons per cell
ρ: 7.695 g/cm3
Total DFT energy (no corrections): -96.186 eV for the cell shown
V: 11.28 A^3/atom
Crystal system: tetragonal
Energy relative to the elements: -39 kJ/mol of atoms

```
data_Al3VNi12
_cell_length_a 3.563
_cell_length_b 3.563
_cell_length_c 14.211
_cell_angle_alpha 90.00
_cell_angle_beta 90.00
_cell_angle_gamma 90.00
_symmetry_space_group_name_H-M 'P 4/m m m'
_symmetry_Int_Tables_number 123
_symmetry_space_group_name_Hall '-P 4 2'
loop_
_atom_site_label
_atom_site_fract_x
_atom_site_fract_y
_atom_site_fract_z
Al1 0.000 0.000 0.000
Al2 0.000 0.000 0.248
V1 0.000 0.000 0.500
Ni1 0.000 0.500 0.125
Ni2 0.000 0.500 0.378
Ni3 0.500 0.500 0.000
Ni4 0.500 0.500 0.251
Ni5 0.500 0.500 0.500
```